VASP calculation (PBE) on a relaxed structure of Pm6Ho5Er.

The structure belongs to space group Immm (No. 71); the cell edges are 5.088, 10.070 and 15.244 Å and the angles 90.00°, 90.00° and 90.00°. The inequivalent atoms are Pm at (0.000, 0.250, 0.000), Pm at (0.000, 0.250, 0.333), Ho at (0.000, 0.000, 0.167), Ho at (0.000, 0.000, 0.500), Ho at (0.000, 0.500, 0.167) and Er at (0.000, 0.500, 0.500).

Its total energy is -111.520 eV for the cell shown. The value obtained for the density of states at the Fermi level is 31.01 states/eV/cell. For the energy of formation, the calculation gives 0.016 eV per atom.